DFT (GGA-PBE) results for a relaxed structure of Ba5ZnSe6.

Results
**Raw formation energy**: -1.67 eV/atom

Cell: 7.9730 7.9791 8.0839 Å, 60.43 81.43 72.42°
Closest atoms and distances in Å follow each position.
Positions (direct):
1 Se 0.8121 0.8021 0.0000  1 Zn 2.48
2 Se 0.2605 0.5735 0.3317  5 Ba 3.22-3.33, 1 Zn 3.39
3 Se 0.1879 0.1979 0.0000  1 Zn 2.48
4 Se 0.7395 0.4265 0.6683  5 Ba 3.22-3.33, 1 Zn 3.39
5 Se 0.7395 0.0947 0.3317  5 Ba 3.22-3.33, 1 Zn 3.39
6 Se 0.2605 0.9053 0.6683  5 Ba 3.22-3.33, 1 Zn 3.39
7 Ba 0.5000 0.5000 0.0000  4 Se 3.25
8 Ba 0.0000 0.6744 0.6511  6 Se 3.22-3.45
9 Ba 0.5000 0.8345 0.3310  6 Se 3.22-3.42
10 Ba 0.0000 0.3256 0.3489  6 Se 3.22-3.45
11 Ba 0.5000 0.1655 0.6690  6 Se 3.22-3.42
12 Zn 0.0000 0.0000 0.0000  2 Se 2.48

---

DFT (GGA-PBE) results for a relaxed structure of SrCuPdAu3.

Results
**DOS at the Fermi energy**: 2.6 states/eV/cell
**Calculated formation energy**: -0.245 eV/atom

Cell: 5.7156 7.2923 7.2734 Å, 120.09 90.00 90.00°
Closest atoms and distances in Å follow each position.
Positions (direct):
1 Au 0.7500 0.8379 0.6758  1 Cu 2.53, 1 Pd 2.74
2 Au 0.5000 0.6955 0.0000  2 Cu 2.65, 2 Pd 2.73, 3 Au 2.85-2.86
3 Au 0.2500 0.1621 0.3242  1 Cu 2.53, 1 Pd 2.74
4 Au 0.0000 0.6955 0.0000  2 Cu 2.65, 2 Pd 2.73, 3 Au 2.85-2.86
5 Au 0.0000 0.3045 0.0000  2 Cu 2.65, 2 Pd 2.73, 3 Au 2.85-2.86
6 Au 0.5000 0.3045 0.0000  2 Cu 2.65, 2 Pd 2.73, 3 Au 2.85-2.86
7 Sr 0.2500 0.7133 0.4265  1 Pd 2.91, 2 Cu 3.02
8 Sr 0.7500 0.2867 0.5735  1 Pd 2.91, 2 Cu 3.02
9 Cu 0.2500 0.3635 0.7269  5 Au 2.53-2.65
10 Cu 0.7500 0.6365 0.2731  5 Au 2.53-2.65
11 Pd 0.7500 0.0558 0.1115  5 Au 2.73-2.74, 1 Sr 2.91
12 Pd 0.2500 0.9442 0.8885  5 Au 2.73-2.74, 1 Sr 2.91

---

DFT (GGA-PBE) results for a relaxed structure of NbTcPbO6.

Results
**DOS at the Fermi energy**: 7.7 states/eV/cell
**Raw formation energy**: -1.67 eV/atom

Cell: 5.0504 5.0504 9.7546 Å, 90.00 90.00 90.00°
Closest atoms and distances in Å follow each position.
Positions (direct):
1 O 0.7451 0.7451 0.7014  1 Tc 1.85
2 O 0.8347 0.1653 0.5037  1 Tc 1.97, 1 Nb 2.03
3 O 0.2318 0.7682 0.8007  1 Nb 1.94, 1 Tc 2.12
4 O 0.7318 0.7318 0.3007  1 Nb 1.94, 1 Tc 2.12
5 O 0.2549 0.2549 0.7014  1 Tc 1.85
6 O 0.7549 0.2451 0.2014  1 Tc 1.85
7 O 0.7682 0.2318 0.8007  1 Nb 1.94, 1 Tc 2.12
8 O 0.6653 0.6653 0.0037  1 Tc 1.97, 1 Nb 2.03
9 O 0.2682 0.2682 0.3007  1 Nb 1.94, 1 Tc 2.12
10 O 0.1653 0.8347 0.5037  1 Tc 1.97, 1 Nb 2.03
11 O 0.3347 0.3347 0.0037  1 Tc 1.97, 1 Nb 2.03
12 O 0.2451 0.7549 0.2014  1 Tc 1.85
13 Nb 0.5000 0.5000 0.8341  4 O 1.94-2.03
14 Nb 0.0000 0.0000 0.3341  4 O 1.94-2.03
15 Tc 0.5000 0.5000 0.1651  4 O 1.85-1.97
16 Tc 0.0000 0.0000 0.6651  4 O 1.85-1.97
17 Pb 0.0000 0.0000 0.9891  4 O 2.40-2.47
18 Pb 0.5000 0.5000 0.4891  4 O 2.40-2.47

---

DFT (GGA-PBE) results for a relaxed structure of La3YHoEr.

Results
**DOS at the Fermi energy**: 21.7 states/eV/cell
**Calculated formation energy**: 0.034 eV/atom

Cell: 5.1965 8.0881 10.8708 Å, 116.11 90.00 90.00°
Closest atoms and distances in Å follow each position.
Positions (direct):
1 Y 0.7500 0.8793 0.7066  1 Er 3.56, 3 Ho 3.57-3.61, 8 La 3.65-3.72
2 Y 0.2500 0.1207 0.2934  1 Er 3.56, 3 Ho 3.57-3.61, 8 La 3.65-3.72
3 Er 0.7500 0.3699 0.8734  1 Y 3.56, 7 La 3.58-3.66, 2 Ho 3.66, 2 Er 3.70
4 Er 0.2500 0.6301 0.1266  1 Y 3.56, 7 La 3.58-3.66, 2 Ho 3.66, 2 Er 3.70
5 Ho 0.7500 0.8775 0.3779  3 Y 3.57-3.61, 5 La 3.59-3.63, 2 Ho 3.62, 2 Er 3.66
6 Ho 0.2500 0.1225 0.6221  3 Y 3.57-3.61, 5 La 3.59-3.63, 2 Ho 3.62, 2 Er 3.66
7 La 0.7500 0.3725 0.5416  3 Ho 3.59-3.63, 1 Er 3.62, 3 Y 3.65-3.68, 5 La 3.66-3.67
8 La 0.2500 0.1256 0.9575  3 Er 3.62-3.66, 1 Ho 3.63, 3 Y 3.66-3.67, 5 La 3.66-3.67
9 La 0.7500 0.3803 0.2064  3 Er 3.58-3.62, 1 Ho 3.61, 6 La 3.66-3.67, 2 Y 3.72
10 La 0.7500 0.8744 0.0425  3 Er 3.62-3.66, 1 Ho 3.63, 3 Y 3.66-3.67, 5 La 3.66-3.67
11 La 0.2500 0.6197 0.7936  3 Er 3.58-3.62, 1 Ho 3.61, 6 La 3.66-3.67, 2 Y 3.72
12 La 0.2500 0.6275 0.4584  3 Ho 3.59-3.63, 1 Er 3.62, 3 Y 3.65-3.68, 5 La 3.66-3.67

---

DFT (GGA-PBE) results for a relaxed structure of Nd4Dy3Ho8.

Results
**ΔE to the lowest computed polymorph**: 0 meV per atom
**DOS at the Fermi energy**: 22.4 states/eV/cell
**Calculated formation energy**: 0.121 eV/atom

Cell: 6.9523 6.9523 12.4784 Å, 73.82 73.82 60.00°
Closest atoms and distances in Å follow each position.
Positions (direct):
1 Ho 0.7552 0.7552 0.7343  1 Nd 3.25, 3 Dy 3.42, 6 Ho 3.48
2 Ho 0.2448 0.2448 0.2657  1 Nd 3.25, 3 Dy 3.42, 6 Ho 3.48
3 Ho 0.2471 0.7497 0.2536  6 Ho 3.46-3.49, 3 Nd 3.52-3.60, 2 Dy 3.53
4 Ho 0.7497 0.7497 0.2536  6 Ho 3.46-3.49, 3 Nd 3.52-3.60, 2 Dy 3.53
5 Ho 0.7497 0.2471 0.2536  6 Ho 3.46-3.49, 3 Nd 3.52-3.60, 2 Dy 3.53
6 Ho 0.2503 0.2503 0.7464  6 Ho 3.46-3.49, 3 Nd 3.52-3.60, 2 Dy 3.53
7 Ho 0.7529 0.2503 0.7464  6 Ho 3.46-3.49, 3 Nd 3.52-3.60, 2 Dy 3.53
8 Ho 0.2503 0.7529 0.7464  6 Ho 3.46-3.49, 3 Nd 3.52-3.60, 2 Dy 3.53
9 Nd 0.5000 0.5000 0.5000  6 Dy 3.48, 6 Ho 3.54
10 Nd 0.6634 0.6634 0.0097  4 Ho 3.25-3.52
11 Nd 0.0000 0.0000 0.0000  6 Ho 3.60, 6 Nd 4.02
12 Nd 0.3366 0.3366 0.9903  4 Ho 3.25-3.52
13 Dy 0.0000 0.0000 0.5000  6 Ho 3.42-3.53, 2 Nd 3.48, 4 Dy 3.48
14 Dy 0.0000 0.5000 0.5000  6 Ho 3.42-3.53, 4 Dy 3.48, 2 Nd 3.48
15 Dy 0.5000 0.0000 0.5000  6 Ho 3.42-3.53, 4 Dy 3.48, 2 Nd 3.48

---

DFT (GGA-PBE) results for a relaxed structure of Ac4AlZn2.

Results
**ΔE to the lowest computed polymorph**: 0 meV per atom
**DOS at the Fermi energy**: 7.7 states/eV/cell
**Calculated formation energy**: -0.135 eV/atom

Cell: 5.5250 5.5250 9.4153 Å, 72.94 72.94 60.00°
Closest atoms and distances in Å follow each position.
Positions (direct):
1 Al 0.0000 0.0000 0.0000  8 Ac 3.38-3.41
2 Ac 0.6211 0.6211 0.1367  4 Zn 3.33-3.37, 3 Al 3.41
3 Ac 0.1270 0.1270 0.6189  4 Zn 3.32-3.41, 1 Al 3.38
4 Ac 0.3789 0.3789 0.8633  4 Zn 3.33-3.37, 3 Al 3.41
5 Ac 0.8730 0.8730 0.3811  4 Zn 3.32-3.41, 1 Al 3.38
6 Zn 0.7480 0.7480 0.7561  8 Ac 3.32-3.41
7 Zn 0.2520 0.2520 0.2439  8 Ac 3.32-3.41

---

Calculated mass density in order - 4.77, 10.74, 6.60, 6.78, 8.00, 7.56 g cm⁻³
Calculated VASP energy in order - -4.322, -3.712, -7.657, -5.030, -4.513, -3.381 eV/atom
Calculated total magnetization in order - 0.0, 0.0, 0.0, 0.0, 0.0, 0.0 μB/cell